1.
AcCd4Hg3: relaxed, GGA-PBE.

POSCAR file:
```
AcCd4Hg3
1.0
4.720 0.000 0.000
0.000 4.720 0.000
0.000 0.000 9.604
Ac Hg Cd
1 3 4
Direct
0.000 0.000 0.500
0.000 0.000 0.000
0.500 0.500 0.354
0.500 0.500 0.646
0.500 0.000 0.177
0.000 0.500 0.177
0.500 0.000 0.823
0.000 0.500 0.823
```

Summary:
SG	P4/mmm (123)

---

2.
AcCdHg: relaxed, GGA-PBE.

POSCAR file:
```
AcCdHg
1.0
-5.716 -5.630 -0.672
1.331 -0.405 -7.930
4.539 -4.729 1.004
Hg Cd Ac
4 4 4
Direct
0.434 0.434 0.000
0.566 0.566 0.500
0.066 0.934 0.250
0.934 0.066 0.750
0.691 0.309 0.750
0.809 0.809 0.500
0.191 0.191 0.000
0.309 0.691 0.250
0.778 0.222 0.250
0.722 0.722 0.000
0.278 0.278 0.500
0.222 0.778 0.750
```

Summary:
offset from the most stable computed form	342	meV/atom
SG	P4_12_12 (92)

---

3.
AcCdHg2: relaxed, GGA-PBE.

POSCAR file:
```
AcCdHg2
1.0
4.519 0.000 0.000
2.260 3.914 0.000
2.260 1.305 7.266
Ac Cd Hg
1 1 2
Direct
0.669 0.669 0.993
0.495 0.495 0.514
0.096 0.096 0.711
0.239 0.239 0.282
```

Summary:
offset from the most stable computed form	217	meV/atom
SG	R3m (160)

---

4.
Ac3Cd3Hg8: relaxed, GGA-PBE.

POSCAR file:
```
Ac3Cd3Hg8
1.0
5.178 0.000 0.000
2.589 8.923 0.614
2.589 3.020 8.419
Ac Cd Hg
3 3 8
Direct
0.500 0.500 0.500
0.786 0.214 0.214
0.214 0.786 0.786
0.500 0.000 0.000
0.000 0.839 0.161
0.000 0.161 0.839
0.645 0.062 0.647
0.355 0.938 0.353
0.645 0.647 0.062
0.355 0.353 0.938
0.853 0.792 0.503
0.147 0.208 0.497
0.853 0.503 0.792
0.147 0.497 0.208
```

Summary:
SG	Immm (71)

---

5.
Ac2CdHg3: relaxed, GGA-PBE.

POSCAR file:
```
Ac2CdHg3
1.0
-3.058 -3.470 4.453
3.401 -4.162 -3.512
6.770 4.811 5.073
Ac Cd Hg
4 2 6
Direct
0.250 0.750 0.500
0.755 0.755 0.000
0.750 0.250 0.500
0.245 0.245 0.000
0.667 0.667 0.333
0.333 0.333 0.667
0.337 0.831 0.168
0.169 0.663 0.832
0.663 0.169 0.832
0.831 0.337 0.168
0.168 0.168 0.337
0.832 0.832 0.663
```

Summary:
offset from the most stable computed form	0	meV/atom
SG	Fmmm (69)

---

6.
Ac2Cd5Hg12: relaxed, GGA-PBE.

POSCAR file:
```
Ac2Cd5Hg12
1.0
-4.737 2.048 6.161
5.131 -0.146 6.184
1.731 7.793 0.930
Ac Cd Hg
2 5 12
Direct
0.681 0.681 0.681
0.319 0.319 0.319
0.000 0.000 0.500
0.000 0.500 0.000
0.500 0.000 0.000
0.899 0.899 0.899
0.101 0.101 0.101
0.292 0.708 0.000
0.708 0.000 0.292
0.000 0.292 0.708
0.708 0.292 0.000
0.292 0.000 0.708
0.000 0.708 0.292
0.378 0.378 0.845
0.378 0.845 0.378
0.845 0.378 0.378
0.622 0.155 0.622
0.622 0.622 0.155
0.155 0.622 0.622
```

Summary:
SG	R-3m (166)

---

| no. | energy of formation from the pure elements (eV/f.u.) |
| --- | --- |
| 1 | -1.4 |
| 2 | -0.2 |
| 3 | -0.8 |
| 4 | -4.9 |
| 5 | -2.6 |
| 6 | -3.0 |